Computed, not measured: a relaxed Ba2HPt crystal at the PBE level of DFT.

Properties
- DOS(E_F): 5.28 states/eV/cell
- Relative energy among the computed polymorphs: 0.177 eV/atom
- Crystal system: tetragonal

Lattice parameters (Å, degrees): 6.487 6.487 8.164 66.59 66.59 90.00
Fractional coordinates of all 8 atoms:
H 0.500 0.500 0.000
H 0.250 0.750 0.500
Ba 0.581 0.125 0.250
Ba 0.169 0.625 0.250
Ba 0.375 0.419 0.750
Ba 0.875 0.831 0.750
Pt 0.000 0.000 0.000
Pt 0.750 0.250 0.500